w.
Below is a relaxed structure of LiPa2Re, with properties calculated at the PBE level.

extended XYZ file:
```
4
Lattice="3.4325 0.0000 0.0000 0.0000 4.8915 0.0000 0.0000 0.0000 4.8915" Properties=species:S:1:pos:R:3 pbc="T T T"
Re 1.7162 0.0000 0.0000
Pa 0.0000 0.0000 2.4457
Pa 0.0000 2.4457 0.0000
Li 1.7162 2.4457 2.4457
```

Output
- calculated density (g cm⁻³) = 13.25

---

x.
Below is a relaxed structure of LiPa2Re, with properties calculated at the PBE level.

extended XYZ file:
```
4
Lattice="-2.4400 4.2356 0.1501 -2.5769 1.4765 -3.8853 -4.8876 0.0018 0.1646" Properties=species:S:1:pos:R:3 pbc="T T T"
Re 0.0000 0.0000 0.0000
Pa -2.4761 1.4285 -0.8927
Pa -7.4284 4.2854 -2.6780
Li -4.9523 2.8569 -1.7853
```

Output
- calculated density (g cm⁻³) = 13.16

---

x is preferred energetically. Next in line: 8 meV/atom higher.

---

w.
Below is a relaxed structure of LiPaRh3, with properties calculated at the PBE level.

extended XYZ file:
```
10
Lattice="-1.1539 2.6380 -3.3935 2.7239 -4.0999 -4.1134 -6.1809 -0.6727 1.5788" Properties=species:S:1:pos:R:3 pbc="T T T"
Li 0.0000 0.0000 0.0000
Li -0.5770 1.3190 -1.6967
Pa -3.5011 -1.1556 -1.1670
Pa -1.1098 -0.9790 -4.7611
Rh 0.7420 -2.7886 -3.8792
Rh -5.3529 0.6540 -2.0488
Rh -1.9127 -3.0775 -3.2011
Rh -2.6982 0.9429 -2.7269
Rh -0.4280 -1.0278 -2.1126
Rh -4.1829 -1.1068 -3.8155
```

Output
- calculated density (g cm⁻³) = 11.45

---

x.
Below is a relaxed structure of LiPaRh3, with properties calculated at the PBE level.

extended XYZ file:
```
10
Lattice="-4.2799 -1.6897 0.5974 1.8243 -6.0177 -3.9516 0.5115 1.2843 7.2969" Properties=species:S:1:pos:R:3 pbc="T T T"
Li 0.0417 -2.4762 2.3040
Li -1.9857 -3.9469 1.6387
Pa -0.2443 -0.8854 4.7547
Pa -1.6997 -5.5377 -0.8120
Rh 0.7514 -4.7146 1.0570
Rh -0.2154 -2.7555 -0.3275
Rh -1.7287 -3.6675 4.2702
Rh -2.6954 -1.7085 2.8857
Rh 0.0000 0.0000 0.0000
Rh -2.1399 -0.8449 0.2987
```

Output
- calculated density (g cm⁻³) = 9.29

---

w is preferred energetically. Next in line: 310 meV/atom higher.